DFT (GGA-PBE) results for an optimized crystal structure of MnAl2BOs.

Computed properties:
- formation energy from the elements (eV/atom) = 0.600

Cell: 4.7225 4.7225 4.1011 Å, 90.00 90.00 90.00°
Space group P4/mmm (No. 123)
Unique sites:
Mn  0.0000  0.0000  0.0000 x1
Al  0.0000  0.5000  0.5000 x2
B  0.5000  0.5000  0.0000 x1
Os  0.5000  0.5000  0.5000 x1